Here is crystalline AlB2S6 at its relaxed geometry from Alexandria via LeMat-Bulk. Energies are from PBE.

Summary:
For the spin magnetization, the calculation gives 0.00 μB per formula unit. The formation energy without anion corrections is -253 kJ/mol of formula units. For the total energy, the calculation gives -89.0 eV/cell.

Cell: 6.0402 7.7088 7.7088 Å, 73.50 78.91 78.91°
Fractional positions:
Al 0.2500 0.0955 0.9045
Al 0.7500 0.9045 0.0955
B 0.1567 0.6672 0.8317
B 0.3433 0.1683 0.3328
B 0.8433 0.3328 0.1683
B 0.6567 0.8317 0.6672
S 0.3662 0.7679 0.6231
S 0.1338 0.3769 0.2321
S 0.6338 0.2321 0.3769
S 0.8662 0.6231 0.7679
S 0.8113 0.9190 0.4252
S 0.6887 0.5748 0.0810
S 0.1887 0.0810 0.5748
S 0.3113 0.4252 0.9190
S 0.1280 0.7995 0.0078
S 0.3720 0.9922 0.2005
S 0.8720 0.2005 0.9922
S 0.6280 0.0078 0.7995

=====

Here is crystalline AlBS2 at its relaxed geometry from Alexandria via LeMat-Bulk. Energies are from PBE.

Summary:
For the spin magnetization, the calculation gives 0.00 μB per formula unit. For the energy above the most stable polymorph in this dataset, the calculation gives 0.000 eV per atom. The formation energy without anion corrections is 9 kJ/mol of formula units. For the total energy, the calculation gives -18.6 eV/cell.

Cell: 6.5380 6.5380 6.5380 Å, 32.14 32.14 32.14°
Fractional positions:
S 0.9075 0.9075 0.9075
S 0.0925 0.0925 0.0925
B 0.0000 0.0000 0.0000
Al 0.5000 0.5000 0.5000

=====

Here is crystalline Al2BS at its relaxed geometry from Alexandria via LeMat-Bulk. Energies are from PBE.

Summary:
For the spin magnetization, the calculation gives 0.70 μB per formula unit. For the energy above the most stable polymorph in this dataset, the calculation gives 0.000 eV per atom. The formation energy without anion corrections is -49 kJ/mol of formula units. For the total energy, the calculation gives -37.6 eV/cell.

Cell: 5.2307 5.2307 6.3084 Å, 65.51 65.51 90.00°
Site moments in Bohr magnetons follow the coordinates.
Fractional positions:
S 0.0000 0.0000 0.0000  0.04
S 0.7500 0.2500 0.5000  0.04
B 0.5000 0.5000 0.0000  0.23
B 0.2500 0.7500 0.5000  0.23
Al 0.5754 0.1250 0.2500  0.04
Al 0.1746 0.6250 0.2500  0.03
Al 0.3750 0.4246 0.7500  0.03
Al 0.8750 0.8254 0.7500  0.03

=====

Here is crystalline Al3BS at its relaxed geometry from Alexandria via LeMat-Bulk. Energies are from PBE.

Summary:
For the spin magnetization, the calculation gives 0.00 μB per formula unit. For the energy above the most stable polymorph in this dataset, the calculation gives 1.053 eV per atom. The formation energy without anion corrections is 586 kJ/mol of formula units. For the total energy, the calculation gives -16.0 eV/cell.

Cell: 4.5946 4.5946 4.5946 Å, 90.00 90.00 90.00°
Fractional positions:
S 0.0000 0.0000 0.0000
B 0.5000 0.5000 0.5000
Al 0.0000 0.5000 0.0000
Al 0.0000 0.0000 0.5000
Al 0.5000 0.0000 0.0000

=====

Here is crystalline AlBS2 at its relaxed geometry from Alexandria via LeMat-Bulk. Energies are from PBE.

Summary:
For the spin magnetization, the calculation gives 0.00 μB per formula unit. For the energy above the most stable polymorph in this dataset, the calculation gives 0.171 eV per atom. The formation energy without anion corrections is 75 kJ/mol of formula units. For the total energy, the calculation gives -17.9 eV/cell.

Cell: 7.3828 7.3828 7.3828 Å, 24.04 24.04 24.04°
Fractional positions:
S 0.8875 0.8875 0.8875
S 0.1125 0.1125 0.1125
B 0.5000 0.5000 0.5000
Al 0.0000 0.0000 0.0000

=====

Here is crystalline AlB2S4 at its relaxed geometry from Alexandria via LeMat-Bulk. Energies are from PBE.

Summary:
For the spin magnetization, the calculation gives 0.82 μB per formula unit. The formation energy without anion corrections is -191 kJ/mol of formula units. For the total energy, the calculation gives -35.6 eV/cell.

Cell: 5.4732 5.4732 5.4732 Å, 103.03 103.03 123.29°
Site moments in Bohr magnetons follow the coordinates.
Fractional positions:
Al 0.5000 0.5000 0.0000  0.14
B 0.2500 0.7500 0.5000  0.02
B 0.7500 0.2500 0.5000  0.02
S 0.3596 0.1563 0.5159  0.04
S 0.8437 0.3596 0.2032  0.04
S 0.1563 0.6404 0.7968  0.04
S 0.6404 0.8437 0.4841  0.04

=====

Here is crystalline AlBS3 at its relaxed geometry from Alexandria via LeMat-Bulk. Energies are from PBE.

Summary:
For the spin magnetization, the calculation gives 0.00 μB per formula unit. For the energy above the most stable polymorph in this dataset, the calculation gives 1.192 eV per atom. The formation energy without anion corrections is 240 kJ/mol of formula units. For the total energy, the calculation gives -20.3 eV/cell.

Cell: 4.1826 4.1826 4.1826 Å, 90.00 90.00 90.00°
Fractional positions:
S 0.0000 0.5000 0.0000
S 0.0000 0.0000 0.5000
S 0.5000 0.0000 0.0000
B 0.0000 0.0000 0.0000
Al 0.5000 0.5000 0.5000

=====

Here is crystalline AlBS3 at its relaxed geometry from Alexandria via LeMat-Bulk. Energies are from PBE.

Summary:
For the spin magnetization, the calculation gives 0.00 μB per formula unit. For the energy above the most stable polymorph in this dataset, the calculation gives 0.000 eV per atom. The formation energy without anion corrections is -335 kJ/mol of formula units. For the total energy, the calculation gives -52.5 eV/cell.

Cell: 3.3139 5.5245 10.3525 Å, 90.00 99.21 90.00°
Fractional positions:
Al 0.3232 0.4982 0.6464
Al 0.6768 0.9982 0.3536
B 0.8661 0.9383 0.7321
B 0.1339 0.4383 0.2679
S 0.8758 0.2777 0.7515
S 0.1242 0.7777 0.2485
S 0.5902 0.3033 0.1805
S 0.4098 0.8033 0.8195
S 0.7807 0.7766 0.5613
S 0.2193 0.2766 0.4387

=====

Here is crystalline AlBS3 at its relaxed geometry from Alexandria via LeMat-Bulk. Energies are from PBE.

Summary:
For the spin magnetization, the calculation gives 0.00 μB per formula unit. For the energy above the most stable polymorph in this dataset, the calculation gives 1.579 eV per atom. The formation energy without anion corrections is 427 kJ/mol of formula units. For the total energy, the calculation gives -18.4 eV/cell.

Cell: 4.6053 4.6053 4.6053 Å, 90.00 90.00 90.00°
Fractional positions:
S 0.0000 0.5000 0.0000
S 0.0000 0.0000 0.5000
S 0.5000 0.0000 0.0000
B 0.5000 0.5000 0.5000
Al 0.0000 0.0000 0.0000

=====

Here is crystalline Al2B2S7 at its relaxed geometry from Alexandria via LeMat-Bulk. Energies are from PBE.

Summary:
For the spin magnetization, the calculation gives 0.00 μB per formula unit. The formation energy without anion corrections is -443 kJ/mol of formula units. For the total energy, the calculation gives -54.3 eV/cell.

Cell: 5.6601 6.1197 6.1197 Å, 109.53 100.52 100.52°
Fractional positions:
Al 0.5000 0.3107 0.6893
Al 0.5000 0.6893 0.3107
B 0.1313 0.7676 0.7676
B 0.8687 0.2324 0.2324
S 0.2680 0.5699 0.9034
S 0.7320 0.0966 0.4301
S 0.7320 0.4301 0.0966
S 0.2680 0.9034 0.5699
S 0.2376 0.3314 0.3314
S 0.0000 0.0000 0.0000
S 0.7624 0.6686 0.6686

=====

Here is crystalline Al3BS at its relaxed geometry from Alexandria via LeMat-Bulk. Energies are from PBE.

Summary:
For the spin magnetization, the calculation gives 0.00 μB per formula unit. For the energy above the most stable polymorph in this dataset, the calculation gives 0.000 eV per atom. The formation energy without anion corrections is 78 kJ/mol of formula units. For the total energy, the calculation gives -21.2 eV/cell.

Cell: 4.2578 4.2578 4.2578 Å, 90.00 90.00 90.00°
Fractional positions:
S 0.5000 0.5000 0.5000
B 0.0000 0.0000 0.0000
Al 0.0000 0.5000 0.0000
Al 0.0000 0.0000 0.5000
Al 0.5000 0.0000 0.0000

=====

Here is crystalline SrAl2BS6 at its relaxed geometry from Alexandria via LeMat-Bulk. Energies are from PBE.

Summary:
For the spin magnetization, the calculation gives 1.02 μB per formula unit. The formation energy without anion corrections is -874 kJ/mol of formula units. For the total energy, the calculation gives -99.3 eV/cell.

Cell: 7.3507 8.7215 8.7215 Å, 89.75 69.79 69.79°
Site moments in Bohr magnetons follow the coordinates.
Fractional positions:
Sr 0.2500 0.8677 0.1323  0.00
Sr 0.7500 0.1323 0.8677  0.00
Al 0.4172 0.7643 0.5979  0.00
Al 0.0828 0.4021 0.2357  0.00
Al 0.5828 0.2357 0.4021  0.00
Al 0.9172 0.5979 0.7643  0.00
B 0.2500 0.1796 0.8204  0.01
B 0.7500 0.8204 0.1796  0.01
S 0.2060 0.9690 0.8088  0.04
S 0.2940 0.1912 0.0310  0.04
S 0.7940 0.0310 0.1912  0.04
S 0.7060 0.8088 0.9690  0.04
S 0.4916 0.8332 0.3422  0.00
S 0.0084 0.6578 0.1668  0.00
S 0.5084 0.1668 0.6578  0.00
S 0.9916 0.3422 0.8332  0.00
S 0.1543 0.6804 0.5770  0.27
S 0.3457 0.4230 0.3196  0.27
S 0.8457 0.3196 0.4230  0.27
S 0.6543 0.5770 0.6804  0.27

=====

> Which value of formation energy without anion corrections does entry 2 give?

9 kJ/mol of formula units

=====

> Which of these has the lowest formation energy without anion corrections?

SrAl2BS6

=====

> Number 4 is which compound?

Al3BS